No. 1
A plane-wave DFT calculation with PBE-GGA was carried out for a relaxed structure of Os3Ru3Rh.

Lattice parameters (Å, degrees): 5.0102 5.0102 5.0102 106.08 106.08 106.08
With the nearest neighbours (Å) after each atom.
Fractional coordinates of all 7 atoms:
1 Os 0.0348 0.4826 0.4826  2 Rh 2.49-2.61, 5 Ru 2.51-2.68
2 Os 0.4826 0.0348 0.4826  2 Rh 2.49-2.61, 5 Ru 2.51-2.68
3 Os 0.4826 0.4826 0.0348  2 Rh 2.49-2.61, 5 Ru 2.51-2.68
4 Ru 0.0265 0.0265 0.6653  5 Os 2.51-2.68, 1 Rh 2.56
5 Ru 0.0265 0.6653 0.0265  5 Os 2.51-2.68, 1 Rh 2.56
6 Ru 0.6653 0.0265 0.0265  5 Os 2.51-2.68, 1 Rh 2.56
7 Rh 0.5721 0.5721 0.5721  6 Os 2.49-2.61, 3 Ru 2.56

Output
* spin magnetization: 0.0 μB/f.u.
* DFT total energy: -64.83 eV per cell
* calculated formation energy: 4.03 eV per formula unit

***

No. 2
A plane-wave DFT calculation with PBE-GGA was carried out for a relaxed structure of UTcP2Os.

Lattice parameters (Å, degrees): 5.5431 5.5431 5.5431 136.54 136.54 63.14
With the nearest neighbours (Å) after each atom.
Fractional coordinates of all 5 atoms:
1 U 0.0000 0.0000 0.0000  8 P 3.13, 4 Tc 3.13, 4 Os 3.13
2 Tc 0.7500 0.2500 0.5000  4 P 2.38
3 P 0.3772 0.3772 0.0000  1 P 2.32, 2 Tc 2.38, 2 Os 2.38
4 P 0.6228 0.6228 0.0000  1 P 2.32, 2 Tc 2.38, 2 Os 2.38
5 Os 0.2500 0.7500 0.5000  4 P 2.38

Output
* spin magnetization: 1.4 μB/f.u.
* DFT total energy: -46.75 eV per cell
* calculated formation energy: -3.05 eV per formula unit

***

No. 3
A plane-wave DFT calculation with PBE-GGA was carried out for a relaxed structure of Sr5TcN4F2.

Lattice parameters (Å, degrees): 7.3712 5.9153 5.9153 116.99 90.00 90.00
With the nearest neighbours (Å) after each atom.
Fractional coordinates of all 12 atoms:
1 Sr 0.0000 0.0000 0.0000  2 N 2.51, 2 F 2.62
2 Sr 0.2715 0.3152 0.6669  2 F 2.55-2.78, 3 N 2.56-2.64
3 Sr 0.2715 0.6669 0.3152  2 F 2.55-2.78, 3 N 2.56-2.64
4 Sr 0.7285 0.3152 0.6669  2 F 2.55-2.78, 3 N 2.56-2.64
5 Sr 0.7285 0.6669 0.3152  2 F 2.55-2.78, 3 N 2.56-2.64
6 Tc 0.5000 0.9917 0.9917  4 N 1.91-1.94
7 N 0.2996 0.1939 0.1939  1 Tc 1.94
8 N 0.5000 0.6615 0.9741  1 Tc 1.91
9 N 0.5000 0.9741 0.6615  1 Tc 1.91
10 N 0.7004 0.1939 0.1939  1 Tc 1.94
11 F 0.0000 0.0193 0.5662  5 Sr 2.55-2.78
12 F 0.0000 0.5662 0.0193  5 Sr 2.55-2.78

Output
* spin magnetization: 2.4 μB/f.u.
* DFT total energy: -71.30 eV per cell
* energy relative to the elements, uncorrected: -1289.8 meV/atom

***

No. 4
A plane-wave DFT calculation with PBE-GGA was carried out for a relaxed structure of Cd2GaRe.

Lattice parameters (Å, degrees): 10.7210 10.7210 10.7210 159.33 159.33 29.40
With the nearest neighbours (Å) after each atom.
Fractional coordinates of all 8 atoms:
1 Cd 0.1168 0.6250 0.9918  4 Cd 2.68-2.77, 2 Re 2.92, 2 Ga 2.94
2 Cd 0.3750 0.3668 0.4918  4 Cd 2.68-2.77, 2 Re 2.92, 2 Ga 2.94
3 Cd 0.6332 0.1250 0.0082  4 Cd 2.68-2.77, 2 Re 2.92, 2 Ga 2.94
4 Cd 0.8750 0.8832 0.5082  4 Cd 2.68-2.77, 2 Re 2.92, 2 Ga 2.94
5 Ga 0.2500 0.7500 0.5000  4 Re 2.72, 4 Cd 2.94
6 Ga 0.5000 0.5000 0.0000  4 Re 2.72, 4 Cd 2.94
7 Re 0.0000 0.0000 0.0000  4 Ga 2.72, 4 Cd 2.92
8 Re 0.7500 0.2500 0.5000  4 Ga 2.72, 4 Cd 2.92

Output
* spin magnetization: 0.0 μB/f.u.
* DFT total energy: -28.71 eV per cell
* calculated formation energy: 2.95 eV per formula unit

***

No. 5
A plane-wave DFT calculation with PBE-GGA was carried out for a relaxed structure of Pr5Nd4Cd4.

Lattice parameters (Å, degrees): 9.2238 9.2238 9.2238 94.84 94.84 146.22
With the nearest neighbours (Å) after each atom.
Fractional coordinates of all 13 atoms:
1 Pr 0.0000 0.0000 0.0000  4 Cd 3.23
2 Pr 0.3162 0.6059 0.9221  3 Cd 3.27-3.28
3 Pr 0.3941 0.3162 0.7102  3 Cd 3.27-3.28
4 Pr 0.6059 0.6838 0.2898  3 Cd 3.27-3.28
5 Pr 0.6838 0.3941 0.0779  3 Cd 3.27-3.28
6 Nd 0.0964 0.3882 0.4846  3 Cd 3.17-3.41
7 Nd 0.3882 0.9036 0.2918  3 Cd 3.17-3.41
8 Nd 0.6118 0.0964 0.7082  3 Cd 3.17-3.41
9 Nd 0.9036 0.6118 0.5154  3 Cd 3.17-3.41
10 Cd 0.1066 0.7646 0.8711  3 Nd 3.17-3.41, 4 Pr 3.23-3.28
11 Cd 0.2354 0.1066 0.3420  3 Nd 3.17-3.41, 4 Pr 3.23-3.28
12 Cd 0.7646 0.8934 0.6580  3 Nd 3.17-3.41, 4 Pr 3.23-3.28
13 Cd 0.8934 0.2354 0.1289  3 Nd 3.17-3.41, 4 Pr 3.23-3.28

Output
* spin magnetization: 0.0 μB/f.u.
* DFT total energy: -48.90 eV per cell
* calculated formation energy: -2.27 eV per formula unit

***

No. 6
A plane-wave DFT calculation with PBE-GGA was carried out for a relaxed structure of ZnCu2Ni.

Lattice parameters (Å, degrees): 4.4362 4.4362 4.4171 100.67 100.67 34.51
With the nearest neighbours (Å) after each atom.
Fractional coordinates of all 4 atoms:
1 Zn 0.0000 0.0000 0.0000  3 Ni 2.53-2.56, 7 Cu 2.55-2.60, 2 Zn 2.63
2 Cu 0.2465 0.2465 0.7343  5 Cu 2.54-2.63, 4 Ni 2.56-2.58, 3 Zn 2.59-2.60
3 Cu 0.4953 0.4953 0.4933  5 Cu 2.54-2.63, 3 Ni 2.55-2.60, 4 Zn 2.55-2.59
4 Ni 0.7478 0.7478 0.2384  3 Zn 2.53-2.56, 7 Cu 2.55-2.60, 2 Ni 2.63

Output
* spin magnetization: 0.0 μB/f.u.
* DFT total energy: -15.52 eV per cell
* calculated formation energy: -0.27 eV per formula unit

***

No. 7
A plane-wave DFT calculation with PBE-GGA was carried out for a relaxed structure of Mg2RePb.

Lattice parameters (Å, degrees): 2.9466 4.9474 5.3495 90.00 90.00 90.00
With the nearest neighbours (Å) after each atom.
Fractional coordinates of all 4 atoms:
1 Mg 0.0000 0.0000 0.0000  4 Mg 2.95-2.98, 4 Re 2.96-3.15, 4 Pb 3.10
2 Mg 0.0000 0.5000 0.3107  4 Pb 2.94-3.17, 4 Mg 2.95-2.98, 4 Re 3.02
3 Re 0.5000 0.0000 0.4804  2 Re 2.95, 8 Mg 2.96-3.15, 2 Pb 2.97
4 Pb 0.5000 0.5000 0.7867  8 Mg 2.94-3.17, 2 Pb 2.95, 2 Re 2.97

Output
* spin magnetization: 0.0 μB/f.u.
* DFT total energy: -17.64 eV per cell
* calculated formation energy: 1.71 eV per formula unit

***

No. 8
A plane-wave DFT calculation with PBE-GGA was carried out for a relaxed structure of Y2ICl5.

Lattice parameters (Å, degrees): 7.2402 7.2402 7.2402 142.89 111.07 80.96
With the nearest neighbours (Å) after each atom.
Fractional coordinates of all 8 atoms:
1 Y 0.2378 0.2378 0.0000  7 Cl 2.62-2.88
2 Y 0.7622 0.7622 0.0000  7 Cl 2.62-2.88
3 I 0.5000 0.0000 0.5000  4 Y 3.69, 14 Cl 3.90-4.10
4 Cl 0.0000 0.0000 0.0000  2 Y 2.62
5 Cl 0.0216 0.3325 0.6891  3 Y 2.75-2.88
6 Cl 0.3567 0.6675 0.6891  3 Y 2.75-2.88
7 Cl 0.6433 0.3325 0.3109  3 Y 2.75-2.88
8 Cl 0.9784 0.6675 0.3109  3 Y 2.75-2.88

Output
* spin magnetization: 0.0 μB/f.u.
* DFT total energy: -39.23 eV per cell
* energy relative to the elements, uncorrected: -1940.0 meV/atom